Sm4TlCu3 | Alexandria via LeMat-Bulk | PBE-GGA | relaxed; crystal system = trigonal; magnetization = 0.00 μB per atom; energy of formation from the pure elements = -156 kJ/mol of formula units; V = 192.3 Å³/f.u.
1.0
2.572 1.485 8.396
-2.572 1.485 8.396
0.000 -2.969 8.396
Sm Tl Cu
4 1 3
direct
0.118 0.118 0.118
0.369 0.369 0.369
0.631 0.631 0.631
0.882 0.882 0.882
0.500 0.500 0.500
0.000 0.000 0.000
0.246 0.246 0.246
0.754 0.754 0.754

=====

TbPm6Al | Alexandria via LeMat-Bulk | PBE-GGA | relaxed; E above lowest polymorph = 0.078 eV per atom; crystal system = monoclinic; magnetization = 0.00 μB per atom; energy of formation from the pure elements = 12 kJ/mol of formula units; V = 255.5 Å³/f.u.
1.0
8.456 0.000 0.000
0.000 9.655 0.000
-1.010 0.000 6.259
Tb Pm Al
2 12 2
direct
0.000 0.000 0.000
0.500 0.500 0.000
0.159 0.500 0.206
0.164 0.303 0.720
0.164 0.697 0.720
0.336 0.197 0.280
0.336 0.803 0.280
0.341 0.000 0.794
0.659 0.000 0.206
0.664 0.197 0.720
0.664 0.803 0.720
0.836 0.303 0.280
0.836 0.697 0.280
0.841 0.500 0.794
0.000 0.000 0.500
0.500 0.500 0.500

=====

RbTiSbI2 | Alexandria via LeMat-Bulk | PBE-GGA | relaxed; crystal system = tetragonal; magnetization = 0.00 μB per atom; V = 182.1 Å³/f.u.; uncorrected formation energy = -0.53 eV per atom
1.0
5.847 0.000 0.000
0.000 5.847 0.000
0.000 0.000 5.326
Rb Ti Sb I
1 1 1 2
direct
0.000 0.000 0.000
0.500 0.500 0.500
0.500 0.500 0.000
0.000 0.500 0.500
0.500 0.000 0.500

=====

| no. | electronic total energy (eV per atom) |
| --- | --- |
| 1 | -4.39 |
| 2 | -4.59 |
| 3 | -3.75 |